(1)
## Cs2RbScF6 (GGA-PBEsol)

Data for an optimized crystal structure of Cs2RbScF6.

Calculated values
N(E_F) ... 0.000 states/eV per atom
Final energy ... -5.43 eV per atom
Formation energy without anion corrections ... -3.322 eV/atom

Cell lengths 6.592, 6.592, 6.592 Å; angles 60.00, 60.00, 60.00 degrees
Sites, in units of the cell vectors:
Cs 0.250 0.250 0.250
Cs 0.750 0.750 0.750
Rb 0.000 0.000 0.000
Sc 0.500 0.500 0.500
F 0.284 0.284 0.716
F 0.284 0.716 0.284
F 0.284 0.716 0.716
F 0.716 0.284 0.284
F 0.716 0.284 0.716
F 0.716 0.716 0.284

=====

(2)
## CsRb2SiF7 (GGA-PBEsol)

Data for an optimized crystal structure of CsRb2SiF7.

Calculated values
N(E_F) ... 0.000 states/eV per atom
Final energy ... -5.13 eV per atom
Formation energy without anion corrections ... -3.110 eV/atom

Cell lengths 8.017, 8.017, 5.820 Å; angles 90.00, 90.00, 90.00 degrees
Sites, in units of the cell vectors:
Cs 0.000 0.000 0.000
Cs 0.500 0.500 0.000
Rb 0.194 0.306 0.500
Rb 0.306 0.806 0.500
Rb 0.694 0.194 0.500
Rb 0.806 0.694 0.500
Si 0.000 0.500 0.000
Si 0.500 0.000 0.000
F 0.000 0.000 0.500
F 0.106 0.606 0.210
F 0.106 0.606 0.790
F 0.150 0.350 0.000
F 0.350 0.850 0.000
F 0.394 0.106 0.210
F 0.394 0.106 0.790
F 0.500 0.500 0.500
F 0.606 0.894 0.210
F 0.606 0.894 0.790
F 0.650 0.150 0.000
F 0.850 0.650 0.000
F 0.894 0.394 0.210
F 0.894 0.394 0.790

=====

(3)
## Cs2RbTlF6 (GGA-PBEsol)

Data for an optimized crystal structure of Cs2RbTlF6.

Calculated values
N(E_F) ... 0.000 states/eV per atom
Final energy ... -4.17 eV per atom
Formation energy without anion corrections ... -2.459 eV/atom

Cell lengths 6.760, 6.760, 6.760 Å; angles 60.00, 60.00, 60.00 degrees
Sites, in units of the cell vectors:
Cs 0.250 0.250 0.250
Cs 0.750 0.750 0.750
Rb 0.000 0.000 0.000
Tl 0.500 0.500 0.500
F 0.273 0.273 0.727
F 0.273 0.727 0.273
F 0.273 0.727 0.727
F 0.727 0.273 0.273
F 0.727 0.273 0.727
F 0.727 0.727 0.273